1.
Computed, not measured: a relaxed BaPt3N crystal at the PBE level of DFT.

Computed properties:
offset from the most stable computed form = 0.0 kJ per mole of atoms
formation energy (no corrections) = 0.263 eV/atom

```
data_BaPt3N
_chemical_formula_sum 'Ba1 Pt3 N1'
_space_group_name_H-M_alt 'P m -3 m'
_space_group_IT_number 221
_space_group_name_Hall '-P 4 2 3'
_cell_length_a 4.4869
_cell_length_b 4.4869
_cell_length_c 4.4869
_cell_angle_alpha 90.00
_cell_angle_beta 90.00
_cell_angle_gamma 90.00
loop_
_atom_site_label
_atom_site_type_symbol
_atom_site_fract_x
_atom_site_fract_y
_atom_site_fract_z
Ba1 Ba 0.0000 0.0000 0.0000
Pt1 Pt 0.0000 0.5000 0.5000
N1 N 0.5000 0.5000 0.5000
```

---

2.
Computed, not measured: a relaxed Ba12Pt3N5 crystal at the PBE level of DFT.

Computed properties:
formation energy (no corrections) = -0.442 eV/atom

```
data_Ba12Pt3N5
_chemical_formula_sum 'Ba96 Pt24 N40'
_space_group_name_H-M_alt 'I a -3 d'
_space_group_IT_number 230
_space_group_name_Hall '-I 4bd 2c 3'
_cell_length_a 17.4116
_cell_length_b 17.4116
_cell_length_c 17.4116
_cell_angle_alpha 90.00
_cell_angle_beta 90.00
_cell_angle_gamma 90.00
loop_
_atom_site_label
_atom_site_type_symbol
_atom_site_fract_x
_atom_site_fract_y
_atom_site_fract_z
Ba1 Ba 0.0266 0.0519 0.6525
Pt1 Pt 0.0000 0.2500 0.1250
N1 N 0.0000 0.0000 0.0000
N2 N 0.0000 0.2500 0.3750
```

---

3.
Computed, not measured: a relaxed Ba3PtN crystal at the PBE level of DFT.

Computed properties:
offset from the most stable computed form = 13.0 kJ per mole of atoms
formation energy (no corrections) = -0.330 eV/atom

```
data_Ba3PtN
_chemical_formula_sum 'Ba3 Pt1 N1'
_space_group_name_H-M_alt 'P m -3 m'
_space_group_IT_number 221
_space_group_name_Hall '-P 4 2 3'
_cell_length_a 5.4567
_cell_length_b 5.4567
_cell_length_c 5.4567
_cell_angle_alpha 90.00
_cell_angle_beta 90.00
_cell_angle_gamma 90.00
loop_
_atom_site_label
_atom_site_type_symbol
_atom_site_fract_x
_atom_site_fract_y
_atom_site_fract_z
Ba1 Ba 0.0000 0.0000 0.5000
Pt1 Pt 0.5000 0.5000 0.5000
N1 N 0.0000 0.0000 0.0000
```

---

4.
Computed, not measured: a relaxed BaPtN crystal at the PBE level of DFT.

Computed properties:
formation energy (no corrections) = -0.174 eV/atom

```
data_BaPtN
_chemical_formula_sum 'Ba4 Pt4 N4'
_space_group_name_H-M_alt 'I 21 21 21'
_space_group_IT_number 24
_cell_length_a 5.3852
_cell_length_b 6.5357
_cell_length_c 9.2685
_cell_angle_alpha 90.00
_cell_angle_beta 90.00
_cell_angle_gamma 90.00
loop_
_space_group_symop_operation_xyz
'x,y,z'
'-x,-y+1/2,z'
'x,-y,-z+1/2'
'-x,y+1/2,-z+1/2'
'x+1/2,y+1/2,z+1/2'
'-x+1/2,-y,z+1/2'
'x+1/2,-y+1/2,-z'
'-x+1/2,y,-z'
loop_
_atom_site_label
_atom_site_type_symbol
_atom_site_fract_x
_atom_site_fract_y
_atom_site_fract_z
Ba1 Ba 0.2500 0.0080 0.0000
Pt1 Pt 0.1447 0.5000 0.2500
N1 N 0.0000 0.2500 0.3258
```

---

How do the records compare in M_tot? In the order shown, they have 0.0, 0.0, 0.0, 0.0 μB/cell.